A relaxed structure of Rb2ZnPd2. Source: Alexandria, functional PBE-GGA.

Crystal system: tetragonal
Energy relative to the elements (kcal/mol of atoms): 0.37
Total magnetic moment (μB per atom): 0.0000
Space group: P4/mbm, No. 127
Calculated volume (Å³/f.u.): 129.58

a b c (Å): 6.8101 6.8101 5.5881
angles (deg): 90.00 90.00 90.00
Fractional positions:
Rb: 0.1782 0.3218 0.0000
Rb: 0.3218 0.8218 0.0000
Rb: 0.6782 0.1782 0.0000
Rb: 0.8218 0.6782 0.0000
Zn: 0.0000 0.0000 0.5000
Zn: 0.5000 0.5000 0.5000
Pd: 0.1427 0.6427 0.5000
Pd: 0.3573 0.1427 0.5000
Pd: 0.6427 0.8573 0.5000
Pd: 0.8573 0.3573 0.5000